First-principles (PBE-GGA) data for Ni3Sb after structural relaxation, as listed in the Open Quantum Materials Database.

abc: 3.7257 3.7257 3.7257
angles: 90.00 90.00 90.00
Fractional positions:
Ni (0.0000, 0.0000, 0.5000)
Ni (0.0000, 0.5000, 0.0000)
Ni (0.5000, 0.0000, 0.0000)
Sb (0.5000, 0.5000, 0.5000)

Computed properties:
total moment: 0.121 μB per formula unit
calculated total energy: -5.362 eV per atom
density: 9.563 g cm⁻³
symmetry: Pm-3m (221)